[1]
# ReTc2P

Crystalline ReTc2P at its relaxed geometry (PBEsol, the Alexandria database).

extended XYZ file:
```
4
Lattice="-2.739 0.949 -2.244 1.839 -1.409 -2.841 -1.293 -3.312 3.171" Properties=species:S:1:pos:R:3 pbc="T T T"
P -0.450 -0.230 -2.542
Re 0.000 0.000 0.000
Tc -2.241 -1.296 -0.808
Tc 0.048 -2.475 -1.106
```

Output
**Density**: 12.78 g/cm³
**Energy**: -41.26 eV for the cell shown

***

[2]
# BeCo3C

Crystalline BeCo3C at its relaxed geometry (PBEsol, the Alexandria database).

extended XYZ file:
```
5
Lattice="3.614 0.000 0.000 0.000 3.614 0.000 0.000 0.000 3.614" Properties=species:S:1:pos:R:3 pbc="T T T"
Be 1.807 1.807 1.807
C 0.000 0.000 0.000
Co 0.000 1.807 0.000
Co 0.000 0.000 1.807
Co 1.807 0.000 0.000
```

Output
**Density**: 6.96 g/cm³
**Energy**: -36.95 eV for the cell shown